Entry 1:
CsCaIO2 after structural relaxation. Source: Alexandria, functional PBE.

```
CsCaIO2
1.0
4.954 0.000 0.000
0.000 4.954 0.000
0.000 0.000 6.254
Cs Ca I O
1 1 1 2
Cartesian
0.000 0.000 0.000
2.477 2.477 3.127
2.477 2.477 0.000
0.000 2.477 3.127
2.477 0.000 3.127
```

Its polymorph energy (0 for the lowest one) is 0 meV/atom. The uncorrected formation energy is -1.005 eV per atom.



Entry 2:
CeCoPt after structural relaxation. Source: Alexandria, functional PBE.

```
CeCoPt
1.0
-1.960 1.960 3.809
1.960 -1.960 3.809
1.960 1.960 -3.809
Ce Co Pt
1 1 1
Cartesian
0.000 0.000 0.000
0.000 0.000 2.131
0.000 0.000 4.792
```

The calculation puts the formation energy at -35 kJ/mol of atoms.



Entry 3:
Cs2AlHgCl6 after structural relaxation. Source: Alexandria, functional PBE.

```
Cs2AlHgCl6
1.0
-3.765 3.765 5.331
3.765 -3.765 5.331
3.765 3.765 -5.331
Cs Al Hg Cl
2 1 1 6
Cartesian
3.765 0.000 2.666
0.000 3.765 2.666
0.000 0.000 0.000
0.000 0.000 5.331
0.000 0.000 2.368
1.674 1.674 0.000
2.090 -2.090 5.331
-2.090 2.090 5.331
0.000 0.000 8.295
2.090 2.090 5.331
```

The uncorrected formation energy is -1.467 eV per atom.



Entry 4:
K2Sn5Br12 after structural relaxation. Source: Alexandria, functional PBE.

```
K2Sn5Br12
1.0
8.328 -4.486 0.000
8.328 4.486 0.000
-3.754 0.000 9.941
K Sn Br
2 5 12
Cartesian
8.328 2.388 0.000
8.328 -2.388 0.000
-1.877 0.000 4.971
4.238 0.000 0.021
3.441 0.000 6.295
9.462 0.000 3.646
8.664 0.000 9.920
1.759 1.966 8.409
-1.728 0.000 8.212
4.359 2.412 5.139
8.544 2.412 4.802
7.300 0.000 1.957
11.144 1.966 1.532
1.759 -1.966 8.409
5.603 0.000 7.984
4.359 -2.412 5.139
8.544 -2.412 4.802
14.631 0.000 1.729
11.144 -1.966 1.532
```

The uncorrected formation energy is -0.937 eV per atom.



Entry 5:
SrSi2Ir after structural relaxation. Source: Alexandria, functional PBE.

```
SrSi2Ir
1.0
2.826 -4.298 0.000
2.826 4.298 0.000
-0.080 0.000 3.055
Sr Si Ir
1 2 1
Cartesian
0.000 0.000 0.000
1.373 2.149 1.528
1.373 -2.149 1.528
2.826 0.000 0.000
```

The uncorrected formation energy is 0.367 eV per atom.



Entry 6:
Nd2Y7Tm after structural relaxation. Source: Alexandria, functional PBE.

```
Nd2Y7Tm
1.0
3.270 -14.514 0.000
3.270 14.514 0.000
0.000 0.000 3.524
Nd Y Tm
2 7 1
Cartesian
3.270 8.495 0.000
3.270 -8.495 0.000
0.000 0.000 0.000
1.668 2.829 0.000
3.270 5.383 1.762
1.668 -2.829 0.000
4.872 2.829 0.000
3.270 -5.383 1.762
4.872 -2.829 0.000
3.270 0.000 1.762
```

Its polymorph energy (0 for the lowest one) is 138 meV/atom. The calculation puts the formation energy at 15 kJ/mol of atoms.



Entry 7:
SiTeH after structural relaxation. Source: Alexandria, functional PBE.

```
SiTeH
1.0
6.253 -1.923 0.000
6.253 1.923 0.000
-5.816 0.000 7.273
Si Te H
2 2 2
Cartesian
-1.899 0.000 3.053
8.589 0.000 4.220
4.449 0.000 1.402
2.241 0.000 5.871
-0.737 0.000 4.001
7.427 0.000 3.272
```



Entry 8:
BeInSiTc2 after structural relaxation. Source: Alexandria, functional PBE.

```
BeInSiTc2
1.0
4.539 0.000 0.000
0.000 4.539 0.000
0.000 0.000 4.030
Be In Si Tc
1 1 1 2
Cartesian
0.000 0.000 0.000
2.270 2.270 0.000
0.000 0.000 2.015
0.000 2.270 2.015
2.270 0.000 2.015
```

The uncorrected formation energy is 0.601 eV per atom.



no.,E (eV/atom),magnetization (μB/cell)
1,-3.869,0.7
2,-6.722,0.0
3,-3.151,0.0
4,-3.162,0.0
5,-4.980,0.0
6,-5.767,0.0
7,-3.990,0.0
8,-5.923,1.3